[1]
Density functional theory data (PBE-GGA) for a relaxed Pm3DyCd3 crystal.

Energy relative to the elements = -0.15 eV per atom

POSCAR file:
```
Pm3DyCd3
1.0
5.350 -5.463 0.000
5.350 5.463 0.000
0.000 0.000 7.163
Pm Dy Cd
6 2 6
Direct
0.235 0.235 0.500 Pm
0.236 0.236 0.000 Pm
0.245 0.755 0.000 Pm
0.755 0.245 0.000 Pm
0.764 0.764 0.000 Pm
0.765 0.765 0.500 Pm
0.248 0.752 0.500 Dy
0.752 0.248 0.500 Dy
0.000 0.500 0.255 Cd
0.000 0.500 0.745 Cd
0.500 0.000 0.255 Cd
0.500 0.000 0.745 Cd
0.500 0.500 0.253 Cd
0.500 0.500 0.747 Cd
```


[2]
Density functional theory data (PBE-GGA) for a relaxed BeRh2O2 crystal.

Polymorph energy (0 for the lowest one) = 0.000 eV/atom
Raw formation energy = 0.03 eV per atom

POSCAR file:
```
BeRh2O2
1.0
3.271 0.000 0.000
0.000 3.271 0.000
0.000 0.000 10.458
Be Rh O
2 4 4
Direct
0.000 0.000 0.000 Be
0.500 0.500 0.500 Be
0.000 0.000 0.381 Rh
0.000 0.000 0.619 Rh
0.500 0.500 0.119 Rh
0.500 0.500 0.881 Rh
0.000 0.500 0.250 O
0.000 0.500 0.750 O
0.500 0.000 0.250 O
0.500 0.000 0.750 O
```


[3]
Density functional theory data (PBE-GGA) for a relaxed BeTl2FeCu crystal.

Energy relative to the elements = 0.97 eV per atom
Polymorph energy (0 for the lowest one) = 0.000 eV/atom

POSCAR file:
```
BeTl2FeCu
1.0
5.095 0.000 0.000
0.000 5.095 0.000
0.000 0.000 4.170
Be Tl Fe Cu
1 2 1 1
Direct
0.000 0.000 0.000 Be
0.000 0.500 0.500 Tl
0.500 0.000 0.500 Tl
0.500 0.500 0.000 Fe
0.000 0.000 0.500 Cu
```


Number 1: DFT total energy -45.32 eV for the cell shown, density 7.4 g/cm3, M_tot 2.2 Bohr magnetons per cell. Number 2: DFT total energy -56.36 eV for the cell shown, density 7.3 g/cm3, M_tot 0.0 Bohr magnetons per cell. Number 3: DFT total energy -16.19 eV for the cell shown, density 8.2 g/cm3, M_tot 3.3 Bohr magnetons per cell.